Record 1
Density functional theory data (PBE-GGA) for crystalline AlAs2PdBr at its relaxed geometry.

Structure (POSCAR):
```
AlAs2PdBr
1.0
4.836 0.000 0.000
0.000 4.836 0.000
0.000 0.000 5.567
As Br Pd Al
2 1 1 1
Cartesian
0.000 2.418 0.000
2.418 0.000 0.000
0.000 0.000 2.783
0.000 0.000 0.000
2.418 2.418 2.783
```

Values from the calculation:
Offset from the most stable computed form, meV per atom: 0.0
E_form (uncorrected), eV per atom: 0.485
Space-group type: P4/mmm, No. 123
Total magnetic moment, Bohr magnetons per cell: 1.07
Theoretical density, g/cm³: 4.63


Record 2
Density functional theory data (PBE-GGA) for crystalline AlAs2PdBr at its relaxed geometry.

Structure (POSCAR):
```
AlAs2PdBr
1.0
4.857 0.000 0.000
0.000 4.857 0.000
0.000 0.000 4.940
As Br Pd Al
2 1 1 1
Cartesian
0.000 2.428 0.000
2.428 0.000 0.000
0.000 0.000 2.470
2.428 2.428 2.470
0.000 0.000 0.000
```

Values from the calculation:
Offset from the most stable computed form, meV per atom: 54.5
E_form (uncorrected), eV per atom: 0.540
Space-group type: P4/mmm, No. 123
Total magnetic moment, Bohr magnetons per cell: 0.00
Theoretical density, g/cm³: 5.17


Record 3
Density functional theory data (PBE-GGA) for crystalline Al2AsPtBr at its relaxed geometry.

Structure (POSCAR):
```
Al2AsPtBr
1.0
4.835 0.000 0.000
0.000 5.038 0.000
0.000 0.000 4.835
As Br Pt Al
1 1 1 2
Cartesian
0.000 2.519 0.000
2.417 2.519 2.417
0.000 0.000 0.000
0.000 0.000 2.417
2.417 0.000 0.000
```

Values from the calculation:
E_form (uncorrected), eV per atom: -0.123
Space-group type: P4/mmm, No. 123
Total magnetic moment, Bohr magnetons per cell: 0.00
Theoretical density, g/cm³: 5.69


Record 4
Density functional theory data (PBE-GGA) for crystalline Rb2AlAsBr6 at its relaxed geometry.

Structure (POSCAR):
```
Rb2AlAsBr6
1.0
7.721 0.000 0.000
0.000 7.721 0.000
3.860 3.860 5.457
As Br Rb Al
1 6 2 1
Cartesian
0.000 0.000 0.000
3.860 3.860 2.665
7.721 7.721 2.793
1.981 1.981 0.000
5.740 5.740 0.000
5.740 1.981 0.000
1.981 5.740 0.000
7.721 3.860 2.729
3.860 7.721 2.729
3.860 3.860 0.000
```

Values from the calculation:
E_form (uncorrected), eV per atom: -0.993
Space-group type: Fm-3m, No. 225
Total magnetic moment, Bohr magnetons per cell: 0.00
Theoretical density, g/cm³: 3.84


Record 5
Density functional theory data (PBE-GGA) for crystalline AlAs2RuBr at its relaxed geometry.

Structure (POSCAR):
```
AlAs2RuBr
1.0
4.828 0.000 0.000
0.000 4.828 0.000
0.000 0.000 4.908
Ru As Al Br
1 2 1 1
Cartesian
2.414 2.414 2.454
0.000 2.414 0.000
2.414 0.000 0.000
0.000 0.000 0.000
0.000 0.000 2.454
```

Values from the calculation:
Offset from the most stable computed form, meV per atom: 553.4
E_form (uncorrected), eV per atom: 0.969
Space-group type: P4/mmm, No. 123
Total magnetic moment, Bohr magnetons per cell: 2.05
Theoretical density, g/cm³: 5.19


Record 6
Density functional theory data (PBE-GGA) for crystalline AlAs2RuBr at its relaxed geometry.

Structure (POSCAR):
```
AlAs2RuBr
1.0
4.722 0.000 0.000
0.000 4.722 0.000
0.000 0.000 5.515
Ru As Al Br
1 2 1 1
Cartesian
0.000 0.000 0.000
0.000 2.361 0.000
2.361 0.000 0.000
2.361 2.361 2.758
0.000 0.000 2.758
```

Values from the calculation:
Offset from the most stable computed form, meV per atom: 0.0
E_form (uncorrected), eV per atom: 0.415
Space-group type: P4/mmm, No. 123
Total magnetic moment, Bohr magnetons per cell: 0.00
Theoretical density, g/cm³: 4.83


Record 7
Density functional theory data (PBE-GGA) for crystalline AlSbAsBr2 at its relaxed geometry.

Structure (POSCAR):
```
AlSbAsBr2
1.0
4.914 0.000 0.000
0.000 4.914 0.000
0.000 0.000 5.279
Sb As Al Br
1 1 1 2
Cartesian
2.457 2.457 2.640
0.000 0.000 2.640
0.000 0.000 0.000
0.000 2.457 0.000
2.457 0.000 0.000
```

Values from the calculation:
Offset from the most stable computed form, meV per atom: 0.0
E_form (uncorrected), eV per atom: 0.062
Space-group type: P4/mmm, No. 123
Total magnetic moment, Bohr magnetons per cell: 0.00
Theoretical density, g/cm³: 4.99


Record 8
Density functional theory data (PBE-GGA) for crystalline AlSbAsBr2 at its relaxed geometry.

Structure (POSCAR):
```
AlSbAsBr2
1.0
5.683 0.000 0.000
0.000 5.683 0.000
0.000 0.000 5.412
Sb As Al Br
1 1 1 2
Cartesian
0.000 0.000 0.000
0.000 0.000 2.706
2.842 2.842 2.706
0.000 2.842 0.000
2.842 0.000 0.000
```

Values from the calculation:
Offset from the most stable computed form, meV per atom: 228.4
E_form (uncorrected), eV per atom: 0.291
Space-group type: P4/mmm, No. 123
Total magnetic moment, Bohr magnetons per cell: 0.71
Theoretical density, g/cm³: 3.64


Record 9
Density functional theory data (PBE-GGA) for crystalline ScAlAs2Br at its relaxed geometry.

Structure (POSCAR):
```
ScAlAs2Br
1.0
-3.500 0.389 3.328
3.002 -1.775 3.364
1.550 4.678 1.084
Sc As Al Br
1 2 1 1
Cartesian
0.526 1.646 3.888
1.501 -0.887 1.682
-1.750 0.194 1.664
0.000 0.000 0.000
0.775 2.339 0.542
```

Values from the calculation:
Offset from the most stable computed form, meV per atom: 0.0
E_form (uncorrected), eV per atom: -0.026
Space-group type: P4/mmm, No. 123
Total magnetic moment, Bohr magnetons per cell: 0.00
Theoretical density, g/cm³: 4.23


Record 10
Density functional theory data (PBE-GGA) for crystalline ScAlAsBr2 at its relaxed geometry.

Structure (POSCAR):
```
ScAlAsBr2
1.0
-3.970 -1.115 2.739
1.442 -4.733 0.162
2.686 0.965 4.285
Sc As Al Br
1 1 1 2
Cartesian
0.079 -2.442 3.593
1.343 0.483 2.142
0.000 0.000 0.000
0.721 -2.367 0.081
-1.985 -0.558 1.370
```

Values from the calculation:
Offset from the most stable computed form, meV per atom: 256.0
E_form (uncorrected), eV per atom: -0.189
Space-group type: P4/mmm, No. 123
Total magnetic moment, Bohr magnetons per cell: 0.59
Theoretical density, g/cm³: 4.04


Record 11
Density functional theory data (PBE-GGA) for crystalline ScAlAsBr2 at its relaxed geometry.

Structure (POSCAR):
```
ScAlAsBr2
1.0
5.199 0.000 0.000
0.000 5.199 0.000
0.000 0.000 5.442
Sc As Al Br
1 1 1 2
Cartesian
0.000 0.000 0.000
0.000 0.000 2.721
2.600 2.600 2.721
0.000 2.600 0.000
2.600 0.000 0.000
```

Values from the calculation:
Offset from the most stable computed form, meV per atom: 0.0
E_form (uncorrected), eV per atom: -0.445
Space-group type: P4/mmm, No. 123
Total magnetic moment, Bohr magnetons per cell: 0.00
Theoretical density, g/cm³: 3.46


Record 12
Density functional theory data (PBE-GGA) for crystalline ScAlAs2Br at its relaxed geometry.

Structure (POSCAR):
```
ScAlAs2Br
1.0
-4.565 -0.727 -2.327
2.437 -1.274 -4.383
0.044 -5.049 1.492
Sc As Al Br
1 2 1 1
Cartesian
0.000 0.000 0.000
1.219 -0.637 -2.192
-2.282 -0.363 -1.163
-1.042 -3.525 -2.609
0.022 -2.525 0.746
```

Values from the calculation:
Offset from the most stable computed form, meV per atom: 20.6
E_form (uncorrected), eV per atom: -0.006
Space-group type: P4/mmm, No. 123
Total magnetic moment, Bohr magnetons per cell: 0.00
Theoretical density, g/cm³: 3.55